This record from Alexandria describes a geometry-optimized AcUMnS4 structure. The functional is PBE.

As for the uncorrected energy: -101.07 eV/cell. The value obtained for the uncorrected formation energy is -1.3516 eV per atom.

The space group is P2_1/m (No. 11) and the conventional cell measures 6.5752, 6.3164 and 8.0504 Å, with angles of 90.00, 107.29 and 90.00 degrees. The inequivalent atoms are Ac at (0.2487, 0.2500, 0.0603), U at (0.2318, 0.2500, 0.5558), Mn at (0.2375, 0.7500, 0.3192), S at (0.0162, 0.5104, 0.7334), S at (0.4341, 0.7500, 0.1283) and S at (0.4420, 0.7500, 0.5992).

=====

This record from Alexandria describes a geometry-optimized ZrIn2Ir structure. The functional is PBE.

As for the uncorrected energy: -45.90 eV/cell. The formation energy comes out at -16 meV/atom.

The space group is Cmmm (No. 65) and the conventional cell measures 5.7583, 9.1501 and 3.0369 Å, with angles of 90.00, 90.00 and 90.00 degrees. The inequivalent atoms are Zr at (0.0000, 0.0000, 0.0000), In at (0.2500, 0.2500, 0.5000) and Ir at (0.0000, 0.5000, 0.0000).

=====

This record from Alexandria describes a geometry-optimized RbTaNi2Ru structure. The functional is PBE.

As for the uncorrected energy: -19.86 eV/cell. The formation energy comes out at 2759 meV/atom.

The space group is P4/mmm (No. 123) and the conventional cell measures 4.2945, 4.2945 and 5.1198 Å, with angles of 90.00, 90.00 and 90.00 degrees. The inequivalent atoms are Rb at (0.0000, 0.0000, 0.0000), Ta at (0.0000, 0.0000, 0.5000), Ni at (0.0000, 0.5000, 0.0000) and Ru at (0.5000, 0.5000, 0.5000).

=====

Taking the records one at a time from the top gives total moment values of 13.39; 0.00; 0.00 Bohr magnetons per cell.